Record 1
VASP calculation (PBE) on a geometry-optimized ZrHgPO2 structure.

Geometry as POSCAR:
```
ZrHgPO2
1.0
4.047 0.000 0.000
0.000 4.047 0.000
0.000 0.000 5.754
Zr Hg P O
1 1 1 2
Direct
0.000 0.000 0.000
0.500 0.500 0.500
0.000 0.000 0.500
0.000 0.500 0.000
0.500 0.000 0.000
```

Results
ρ   6.25 g/cm³
Total magnetic moment   0.28 μB per formula unit

---

Record 2
VASP calculation (PBE) on a geometry-optimized ZrHgP2O structure.

Geometry as POSCAR:
```
ZrHgP2O
1.0
4.897 0.000 0.000
0.000 4.897 0.000
0.000 0.000 4.080
Zr Hg P O
1 1 2 1
Direct
0.000 0.000 0.000
0.500 0.500 0.500
0.000 0.500 0.500
0.500 0.000 0.500
0.500 0.500 0.000
```

Results
ρ   6.28 g/cm³
Total magnetic moment   0.00 μB per formula unit

---

no.,uncorrected formation energy (eV/atom)
1,-1.28
2,0.57